First-principles (PBE) data for an optimized crystal structure of NaGaNF2, as listed in Alexandria.

symmetry	P4/mmm
raw formation energy	-1.86	eV per formula unit
uncorrected energy	-3.66	eV per atom
offset from the most stable computed form	448	kJ/mol of formula units

a = 4.3299 Å, b = 4.3299 Å, c = 4.4626 Å
α = 90.00°, β = 90.00°, γ = 90.00°
Closest atoms and distances in Å follow each position.
Atoms (fractional coordinates):
Na (0.0000, 0.0000, 0.0000)  4 F 2.16, 2 N 2.23
Ga (0.5000, 0.5000, 0.5000)  4 N 3.06, 8 F 3.11
N (0.0000, 0.0000, 0.5000)  2 Na 2.23
F (0.0000, 0.5000, 0.0000)  2 Na 2.16
F (0.5000, 0.0000, 0.0000)  2 Na 2.16